# Rb3U3GeTe8

A relaxed structure of Rb3U3GeTe8 (GGA-PBE, the Alexandria database).

The uncorrected formation energy comes out at -739 meV per atom. The theoretical density is 5.66 g/cm³. The density of states at the Fermi level is 0.80 states/eV/atom.

It has space group R-3m (No. 166, hexagonal axes), with a = 8.9988 Å, b = 8.9988 Å, c = 25.9166 Å, α = 90.00°, β = 90.00° and γ = 120.00°. The asymmetric unit holds Rb at (0.0000, 0.5000, 0.0000), U at (0.0000, 0.5000, 0.5000), Ge at (0.0000, 0.0000, 0.5000), Te at (0.0000, 0.0000, 0.2337) and Te at (0.0006, 0.5003, 0.2303).